--- w ---
Entry from Alexandria: Li3V4P6O24 after structural relaxation (PBE+U).

a b c (Å): 8.538 8.576 8.584
angles (deg): 60.51 60.76 60.69
Space group P1 (No. 1)
Symmetry-distinct sites (fractional):
Li: 0.000 0.000 0.000 (multiplicity 1)
Li: 0.147 0.406 0.710 (multiplicity 1)
Li: 0.529 0.548 0.429 (multiplicity 1)
V: 0.133 0.187 0.111 (multiplicity 1)
V: 0.348 0.403 0.329 (multiplicity 1)
V: 0.626 0.690 0.607 (multiplicity 1)
V: 0.842 0.910 0.829 (multiplicity 1)
P: 0.021 0.801 0.432 (multiplicity 1)
P: 0.237 0.588 0.923 (multiplicity 1)
P: 0.446 0.084 0.723 (multiplicity 1)
P: 0.531 0.005 0.219 (multiplicity 1)
P: 0.738 0.510 0.008 (multiplicity 1)
P: 0.945 0.300 0.512 (multiplicity 1)
O: 0.051 0.959 0.236 (multiplicity 1)
O: 0.075 0.782 0.901 (multiplicity 1)
O: 0.103 0.346 0.503 (multiplicity 1)
O: 0.186 0.430 0.935 (multiplicity 1)
O: 0.203 0.626 0.438 (multiplicity 1)
O: 0.247 0.107 0.883 (multiplicity 1)
O: 0.279 0.541 0.096 (multiplicity 1)
O: 0.366 0.053 0.154 (multiplicity 1)
O: 0.408 0.610 0.737 (multiplicity 1)
O: 0.428 0.280 0.566 (multiplicity 1)
O: 0.482 0.925 0.663 (multiplicity 1)
O: 0.495 0.161 0.280 (multiplicity 1)
O: 0.540 0.811 0.381 (multiplicity 1)
O: 0.573 0.497 0.196 (multiplicity 1)
O: 0.601 0.041 0.794 (multiplicity 1)
O: 0.690 0.545 0.840 (multiplicity 1)
O: 0.724 0.982 0.058 (multiplicity 1)
O: 0.756 0.468 0.517 (multiplicity 1)
O: 0.801 0.671 0.968 (multiplicity 1)
O: 0.854 0.751 0.462 (multiplicity 1)
O: 0.908 0.320 0.025 (multiplicity 1)
O: 0.912 0.135 0.701 (multiplicity 1)
O: 0.974 0.867 0.590 (multiplicity 1)
O: 0.999 0.250 0.338 (multiplicity 1)

Computed properties:
magnetic moment	5.00	μB per cell



--- x ---
Entry from Alexandria: Li3V4P6O24 after structural relaxation (PBE+U).

a b c (Å): 6.419 8.380 8.896
angles (deg): 91.28 107.27 105.85
Space group P-1 (No. 2)
Symmetry-distinct sites (fractional):
Li: 0.000 0.000 0.000 (multiplicity 1)
Li: 0.230 0.765 0.186 (multiplicity 2)
V: 0.129 0.867 0.560 (multiplicity 2)
V: 0.366 0.442 0.115 (multiplicity 2)
P: 0.116 0.640 0.848 (multiplicity 2)
P: 0.250 0.209 0.780 (multiplicity 2)
P: 0.347 0.136 0.343 (multiplicity 2)
O: 0.039 0.239 0.651 (multiplicity 2)
O: 0.104 0.501 0.160 (multiplicity 2)
O: 0.109 0.680 0.676 (multiplicity 2)
O: 0.155 0.791 0.957 (multiplicity 2)
O: 0.182 0.100 0.449 (multiplicity 2)
O: 0.224 0.231 0.945 (multiplicity 2)
O: 0.253 0.027 0.742 (multiplicity 2)
O: 0.257 0.002 0.207 (multiplicity 2)
O: 0.320 0.557 0.910 (multiplicity 2)
O: 0.367 0.312 0.285 (multiplicity 2)
O: 0.412 0.853 0.542 (multiplicity 2)
O: 0.476 0.330 0.771 (multiplicity 2)

Computed properties:
magnetic moment	5.00	μB per cell
DOS at the Fermi energy	1.314	states/eV per cell



Result of the stability comparison: x is the least stable of them.



--- w ---
Entry from Alexandria: Li7V4P6O24 after structural relaxation (PBE+U).

a b c (Å): 8.519 8.523 8.839
angles (deg): 89.91 61.24 60.16
Space group P1 (No. 1)
Symmetry-distinct sites (fractional):
Li: 0.000 0.000 0.000 (multiplicity 1)
Li: 0.056 0.121 0.406 (multiplicity 1)
Li: 0.344 0.304 0.001 (multiplicity 1)
Li: 0.413 0.473 0.405 (multiplicity 1)
Li: 0.703 0.646 0.995 (multiplicity 1)
Li: 0.771 0.761 0.399 (multiplicity 1)
Li: 0.897 0.873 0.667 (multiplicity 1)
V: 0.170 0.741 0.270 (multiplicity 1)
V: 0.190 0.230 0.739 (multiplicity 1)
V: 0.567 0.541 0.673 (multiplicity 1)
V: 0.593 0.026 0.134 (multiplicity 1)
P: 0.081 0.636 0.954 (multiplicity 1)
P: 0.083 0.430 0.456 (multiplicity 1)
P: 0.379 0.934 0.956 (multiplicity 1)
P: 0.381 0.841 0.457 (multiplicity 1)
P: 0.671 0.138 0.457 (multiplicity 1)
P: 0.675 0.337 0.957 (multiplicity 1)
O: 0.030 0.686 0.147 (multiplicity 1)
O: 0.169 0.400 0.580 (multiplicity 1)
O: 0.174 0.421 0.896 (multiplicity 1)
O: 0.201 0.050 0.579 (multiplicity 1)
O: 0.224 0.054 0.897 (multiplicity 1)
O: 0.236 0.937 0.150 (multiplicity 1)
O: 0.238 0.690 0.829 (multiplicity 1)
O: 0.259 0.754 0.457 (multiplicity 1)
O: 0.278 0.283 0.263 (multiplicity 1)
O: 0.487 0.478 0.150 (multiplicity 1)
O: 0.506 0.019 0.952 (multiplicity 1)
O: 0.516 0.084 0.585 (multiplicity 1)
O: 0.526 0.846 0.263 (multiplicity 1)
O: 0.540 0.719 0.513 (multiplicity 1)
O: 0.556 0.723 0.834 (multiplicity 1)
O: 0.583 0.352 0.510 (multiplicity 1)
O: 0.587 0.370 0.834 (multiplicity 1)
O: 0.717 0.084 0.265 (multiplicity 1)
O: 0.763 0.126 0.955 (multiplicity 1)
O: 0.857 0.371 0.895 (multiplicity 1)
O: 0.873 0.758 0.950 (multiplicity 1)
O: 0.879 0.016 0.459 (multiplicity 1)
O: 0.903 0.394 0.514 (multiplicity 1)
O: 0.994 0.639 0.458 (multiplicity 1)

Computed properties:
magnetic moment	9.00	μB per cell
DOS at the Fermi energy	4.471	states/eV per cell



--- x ---
Entry from Alexandria: Li7V4P6O24 after structural relaxation (PBE+U).

a b c (Å): 8.4994 8.4994 22.9541
angles (deg): 90.00 90.00 120.00
Space group R3 (No. 146, hexagonal axes)
Symmetry-distinct sites (fractional):
Li: 0.0000 0.0000 0.0000 (multiplicity 3)
Li: 0.0075 0.3707 0.7509 (multiplicity 9)
Li: 0.0257 0.7192 0.5866 (multiplicity 9)
V: 0.0000 0.0000 0.1796 (multiplicity 3)
V: 0.0000 0.0000 0.3836 (multiplicity 3)
V: 0.0000 0.0000 0.6898 (multiplicity 3)
V: 0.0000 0.0000 0.8858 (multiplicity 3)
P: 0.0041 0.7049 0.7854 (multiplicity 9)
P: 0.0046 0.2941 0.2880 (multiplicity 9)
O: 0.0133 0.2012 0.2318 (multiplicity 9)
O: 0.0521 0.8442 0.1205 (multiplicity 9)
O: 0.0858 0.8572 0.4325 (multiplicity 9)
O: 0.0954 0.8670 0.7414 (multiplicity 9)
O: 0.1113 0.6727 0.5129 (multiplicity 9)
O: 0.1658 0.4502 0.6155 (multiplicity 9)
O: 0.1776 0.4313 0.0057 (multiplicity 9)
O: 0.2038 0.4445 0.3021 (multiplicity 9)

Computed properties:
magnetic moment	27.00	μB per cell
DOS at the Fermi energy	13.927	states/eV per cell



Result of the stability comparison: w is the least stable of them.



--- w ---
Entry from Alexandria: Li4VP2O9 after structural relaxation (PBE+U).

a b c (Å): 6.870 14.473 7.198
angles (deg): 90.00 90.00 90.00
Space group Cmme (No. 67)
Symmetry-distinct sites (fractional):
Li: 0.000 0.119 0.232 (multiplicity 8)
Li: 0.250 0.000 0.500 (multiplicity 4)
Li: 0.250 0.250 0.000 (multiplicity 4)
V: 0.250 0.250 0.500 (multiplicity 4)
P: 0.000 0.111 0.772 (multiplicity 8)
O: 0.000 0.009 0.716 (multiplicity 8)
O: 0.000 0.143 0.975 (multiplicity 8)
O: 0.000 0.250 0.405 (multiplicity 4)
O: 0.191 0.153 0.684 (multiplicity 16)

Computed properties:
magnetic moment	4.00	μB per cell
DOS at the Fermi energy	0.634	states/eV per cell



--- x ---
Entry from Alexandria: Li4VP2O9 after structural relaxation (PBE+U).

a b c (Å): 15.903 5.536 8.609
angles (deg): 90.00 90.00 90.00
Space group Pna2_1 (No. 33)
Symmetry-distinct sites (fractional):
Li: 0.062 0.216 0.000 (multiplicity 4)
Li: 0.120 0.837 0.157 (multiplicity 4)
Li: 0.138 0.653 0.418 (multiplicity 4)
Li: 0.191 0.186 0.560 (multiplicity 4)
V: 0.120 0.658 0.791 (multiplicity 4)
P: 0.030 0.162 0.369 (multiplicity 4)
P: 0.229 0.324 0.204 (multiplicity 4)
O: 0.005 0.741 0.708 (multiplicity 4)
O: 0.055 0.896 0.359 (multiplicity 4)
O: 0.059 0.823 0.961 (multiplicity 4)
O: 0.094 0.327 0.447 (multiplicity 4)
O: 0.119 0.359 0.805 (multiplicity 4)
O: 0.165 0.156 0.132 (multiplicity 4)
O: 0.183 0.804 0.611 (multiplicity 4)
O: 0.203 0.592 0.208 (multiplicity 4)
O: 0.236 0.741 0.868 (multiplicity 4)

Computed properties:
magnetic moment	3.99	μB per cell
DOS at the Fermi energy	0.000	states/eV per cell



Result of the stability comparison: w is the least stable of them.